No. 1
A geometry-optimized BeRhW2 structure, computed with PBE.

Results
* final energy: -9.0803 eV per atom
* energy of formation from the pure elements: 0.17 eV per atom
* total moment: 0.00 μB per atom

a b c (Å): 4.8125 4.8125 4.8125
angles (deg): 134.01 134.01 67.07
Closest atoms and distances in Å follow each position.
Positions (direct):
Rh 0.7500 0.2500 0.5000  8 W 2.66-2.75, 4 Be 2.75
W 0.0000 0.0000 0.0000  4 Be 2.66, 4 Rh 2.75, 4 W 2.75
W 0.2500 0.7500 0.5000  4 Rh 2.66, 4 Be 2.75, 4 W 2.75
Be 0.5000 0.5000 0.0000  8 W 2.66-2.75, 4 Rh 2.75



No. 2
A geometry-optimized Rb2BaTaAg structure, computed with PBE.

Results
* final energy: -2.1068 eV per atom
* energy of formation from the pure elements: 1.61 eV per atom
* total moment: 0.38 μB per atom

a b c (Å): 7.2390 5.4025 7.2390
angles (deg): 90.00 90.00 90.00
Closest atoms and distances in Å follow each position.
Positions (direct):
Rb 0.5000 0.0000 0.0000  2 Ba 3.62
Rb 0.0000 0.0000 0.5000  2 Ba 3.62
Ta 0.0000 0.5000 0.0000  2 Ba 2.70
Ag 0.5000 0.5000 0.5000  8 Rb 4.52
Ba 0.0000 0.0000 0.0000  2 Ta 2.70



No. 3
A geometry-optimized Bi2CF2 structure, computed with PBE.

Results
* ΔE to the lowest computed polymorph: 0.750 eV per formula unit
* final energy: -4.3126 eV per atom
* formation energy from raw total energies: -0.1669 eV/atom
* total moment: 0.00 μB per atom

a b c (Å): 3.5224 3.5224 7.1003
angles (deg): 75.64 75.64 90.00
Closest atoms and distances in Å follow each position.
Positions (direct):
Bi 0.6155 0.6155 0.7691  4 F 2.51
Bi 0.3845 0.3845 0.2309  4 F 2.51
C 0.0000 0.0000 0.0000  8 Bi 2.93
F 0.2500 0.7500 0.5000  4 F 2.49, 4 Bi 2.51
F 0.7500 0.2500 0.5000  4 F 2.49, 4 Bi 2.51